Entry 1:
## Tl2Bi5Pb12 (PBE-GGA)

Data for a relaxed structure of Tl2Bi5Pb12.

```
Tl2Bi5Pb12
1.0
-7.353 -0.450 6.117
2.736 -7.221 -4.737
5.349 -1.690 6.305
Tl Bi Pb
2 5 12
Direct
0.690 0.000 0.000 Tl
0.310 0.000 0.000 Tl
0.224 0.449 0.563 Bi
0.302 0.605 0.024 Bi
0.000 0.000 0.500 Bi
0.698 0.395 0.976 Bi
0.776 0.551 0.437 Bi
0.903 0.807 0.106 Pb
0.020 0.668 0.757 Pb
0.648 0.668 0.757 Pb
0.174 0.763 0.338 Pb
0.589 0.763 0.338 Pb
0.434 0.867 0.662 Pb
0.566 0.133 0.338 Pb
0.826 0.237 0.662 Pb
0.411 0.237 0.662 Pb
0.980 0.332 0.243 Pb
0.352 0.332 0.243 Pb
0.097 0.193 0.894 Pb
```

Calculated values
* DFT total energy: -67.662 eV for the cell shown
* crystal system: monoclinic
* ΔE to the lowest computed polymorph: 0 meV per atom
* E_form: 0.051 eV per atom

=====

Entry 2:
## Tl2BiPb12 (PBE-GGA)

Data for a relaxed structure of Tl2BiPb12.

```
Tl2BiPb12
1.0
6.713 0.000 0.000
0.000 6.713 0.000
0.000 0.000 23.202
Tl Bi Pb
4 2 24
Direct
0.500 0.000 0.268 Tl
0.000 0.500 0.268 Tl
0.000 0.500 0.732 Tl
0.500 0.000 0.732 Tl
0.500 0.000 0.000 Bi
0.000 0.500 0.000 Bi
0.500 0.500 0.798 Pb
0.000 0.000 0.798 Pb
0.748 0.752 0.898 Pb
0.248 0.748 0.898 Pb
0.000 0.000 0.339 Pb
0.252 0.752 0.102 Pb
0.816 0.316 0.566 Pb
0.500 0.500 0.339 Pb
0.252 0.248 0.898 Pb
0.752 0.748 0.102 Pb
0.316 0.184 0.566 Pb
0.684 0.184 0.434 Pb
0.000 0.000 0.661 Pb
0.184 0.316 0.434 Pb
0.248 0.252 0.102 Pb
0.816 0.684 0.434 Pb
0.684 0.816 0.566 Pb
0.000 0.000 0.202 Pb
0.184 0.684 0.566 Pb
0.500 0.500 0.661 Pb
0.752 0.252 0.898 Pb
0.500 0.500 0.202 Pb
0.316 0.816 0.434 Pb
0.748 0.248 0.102 Pb
```

Calculated values
* DFT total energy: -103.533 eV for the cell shown
* crystal system: tetragonal
* E_form: 0.090 eV per atom

=====

Entry 3:
## TlBi3Pb2 (PBE-GGA)

Data for a relaxed structure of TlBi3Pb2.

```
TlBi3Pb2
1.0
6.368 0.000 0.000
0.000 11.349 0.000
-3.184 -5.675 5.931
Tl Bi Pb
2 6 4
Direct
0.574 0.250 0.500 Tl
0.426 0.750 0.500 Tl
0.000 0.715 0.000 Bi
0.000 0.285 0.000 Bi
0.500 0.785 0.000 Bi
0.000 0.000 0.500 Bi
0.000 0.500 0.500 Bi
0.500 0.215 0.000 Bi
0.082 0.900 0.800 Pb
0.219 0.400 0.800 Pb
0.781 0.600 0.200 Pb
0.918 0.100 0.200 Pb
```

Calculated values
* DFT total energy: -41.778 eV for the cell shown
* crystal system: orthorhombic
* ΔE to the lowest computed polymorph: 32 meV per atom
* E_form: 0.089 eV per atom

=====

Entry 4:
## Tl2Bi4Pb3 (PBE-GGA)

Data for a relaxed structure of Tl2Bi4Pb3.

```
Tl2Bi4Pb3
1.0
-0.854 6.278 -2.560
-9.823 0.811 5.264
4.177 0.026 7.791
Tl Bi Pb
4 8 6
Direct
0.099 0.537 0.199 Tl
0.901 0.463 0.801 Tl
0.401 0.037 0.801 Tl
0.599 0.963 0.199 Tl
0.716 0.750 0.931 Bi
0.784 0.250 0.069 Bi
0.284 0.250 0.069 Bi
0.216 0.750 0.931 Bi
0.203 0.986 0.406 Bi
0.797 0.014 0.594 Bi
0.297 0.486 0.594 Bi
0.703 0.514 0.406 Bi
0.000 0.000 0.000 Pb
0.500 0.500 0.000 Pb
0.520 0.750 0.539 Pb
0.980 0.250 0.461 Pb
0.480 0.250 0.461 Pb
0.020 0.750 0.539 Pb
```

Calculated values
* DFT total energy: -61.831 eV for the cell shown
* crystal system: orthorhombic
* ΔE to the lowest computed polymorph: 29 meV per atom
* E_form: 0.052 eV per atom

=====

Entry 5:
## Tl2BiPb (PBE-GGA)

Data for a relaxed structure of Tl2BiPb.

```
Tl2BiPb
1.0
-3.791 -0.083 0.205
0.179 -4.107 1.655
0.321 2.874 7.098
Tl Bi Pb
2 1 1
Direct
0.000 0.000 0.991 Tl
0.500 0.500 0.258 Tl
0.500 0.500 0.736 Bi
0.000 0.000 0.515 Pb
```

Calculated values
* DFT total energy: -12.379 eV for the cell shown
* crystal system: orthorhombic
* ΔE to the lowest computed polymorph: 0 meV per atom
* E_form: -0.014 eV per atom

=====

Entry 6:
## Tl3BiPb4 (PBE-GGA)

Data for a relaxed structure of Tl3BiPb4.

```
Tl3BiPb4
1.0
7.052 0.000 0.000
0.000 9.948 0.000
0.000 0.000 7.185
Pb Tl Bi
8 6 2
Direct
0.000 0.314 0.000 Pb
0.000 0.314 0.500 Pb
0.250 0.064 0.261 Pb
0.250 0.564 0.739 Pb
0.500 0.814 0.500 Pb
0.500 0.814 0.000 Pb
0.750 0.564 0.739 Pb
0.750 0.064 0.261 Pb
0.000 0.814 0.000 Tl
0.250 0.064 0.755 Tl
0.250 0.564 0.245 Tl
0.500 0.314 0.000 Tl
0.750 0.564 0.245 Tl
0.750 0.064 0.755 Tl
0.000 0.815 0.500 Bi
0.500 0.315 0.500 Bi
```

Calculated values
* DFT total energy: -51.679 eV for the cell shown
* crystal system: orthorhombic
* ΔE to the lowest computed polymorph: 0 meV per atom
* E_form: -0.003 eV per atom

=====

Entry 7:
## Tl3Bi4Pb4 (PBE-GGA)

Data for a relaxed structure of Tl3Bi4Pb4.

```
Tl3Bi4Pb4
1.0
3.445 0.005 -0.167
0.008 5.600 0.003
0.848 2.790 18.321
Tl Bi Pb
3 4 4
Direct
0.039 0.635 0.730 Tl
0.961 0.365 0.270 Tl
0.000 0.000 0.000 Tl
0.491 0.544 0.911 Bi
0.509 0.456 0.089 Bi
0.514 0.817 0.365 Bi
0.486 0.183 0.635 Bi
0.541 0.091 0.818 Pb
0.273 0.274 0.454 Pb
0.727 0.726 0.546 Pb
0.459 0.909 0.182 Pb
```

Calculated values
* DFT total energy: -37.512 eV for the cell shown
* crystal system: triclinic
* ΔE to the lowest computed polymorph: 0 meV per atom
* E_form: -0.005 eV per atom

=====

Entry 8:
## Tl5BiPb6 (PBE-GGA)

Data for a relaxed structure of Tl5BiPb6.

```
Tl5BiPb6
1.0
5.637 -0.840 -2.127
-4.103 8.394 0.093
-1.670 2.699 8.787
Pb Tl Bi
6 5 1
Direct
0.248 0.083 0.412 Pb
0.752 0.588 0.917 Pb
0.743 0.247 0.247 Pb
0.257 0.753 0.753 Pb
0.248 0.412 0.083 Pb
0.752 0.917 0.588 Pb
0.500 0.169 0.831 Tl
0.000 0.334 0.666 Tl
0.500 0.500 0.500 Tl
0.000 0.666 0.334 Tl
0.500 0.831 0.169 Tl
0.000 0.000 0.000 Bi
```

Calculated values
* DFT total energy: -37.979 eV for the cell shown
* crystal system: monoclinic
* E_form: -0.001 eV per atom